# 1
Entry from Alexandria via LeMat-Bulk: a relaxed PrNd2P2N6 crystal (GGA-PBE).

Computed properties:
Electronic total energy, eV per formula unit: -84.22
ΔE_f (raw), eV per atom: -0.8303

```
PrNd2P2N6
1.0
-3.509 4.677 -0.114
-1.778 -5.048 -2.356
-2.416 -1.680 5.424
N P Nd Pr
6 2 2 1
Cartesian
-4.915 0.790 -0.243 N
-5.230 -1.898 2.401 N
-2.474 -0.153 0.552 N
-4.539 -4.498 1.904 N
-2.788 -2.842 3.197 N
-3.164 2.447 1.050 N
-3.374 1.128 0.130 P
-4.329 -3.179 2.823 P
-4.489 0.352 2.634 Nd
-3.214 -2.404 0.319 Nd
0.000 0.000 0.000 Pr
```


# 2
Entry from Alexandria via LeMat-Bulk: a relaxed Nd2PuPN5 crystal (GGA-PBE).

Computed properties:
Electronic total energy, eV per formula unit: -79.50
ΔE_f (raw), eV per atom: -0.9545

```
Nd2PuPN5
1.0
-0.925 -3.234 0.362
6.381 -0.443 -3.463
5.069 -0.397 9.390
Nd N P Pu
4 10 2 2
Cartesian
8.064 -3.437 5.693 Nd
4.737 -0.725 5.620 Nd
5.037 -3.291 -0.722 Nd
3.366 -0.708 2.273 Nd
2.918 -2.553 0.458 N
6.860 -1.463 4.447 N
4.074 -2.490 3.966 N
1.114 -1.778 2.768 N
7.679 -3.777 1.681 N
9.753 -2.323 4.154 N
5.940 -2.635 7.429 N
5.954 -1.546 1.396 N
4.083 -1.399 -2.064 N
5.309 -0.491 9.171 N
4.717 -2.171 8.458 P
7.469 -2.034 0.907 P
5.935 -3.105 3.228 Pu
2.467 -0.803 -0.874 Pu
```


# 3
Entry from Alexandria via LeMat-Bulk: a relaxed NdPRhN crystal (GGA-PBE).

Computed properties:
Electronic total energy, eV per formula unit: -30.53
ΔE_f (raw), eV per atom: -1.1684

```
NdPRhN
1.0
3.902 0.000 0.000
0.000 3.902 0.000
0.000 0.000 8.170
N P Rh Nd
2 2 2 2
Cartesian
1.951 0.000 7.095 N
0.000 1.951 1.075 N
0.000 1.951 2.759 P
1.951 0.000 5.411 P
1.951 1.951 4.085 Rh
0.000 0.000 4.085 Rh
1.951 0.000 1.333 Nd
0.000 1.951 6.836 Nd
```


# 4
Entry from Alexandria via LeMat-Bulk: a relaxed Nd2P2RhN6 crystal (GGA-PBE).

Computed properties:
Electronic total energy, eV per formula unit: -83.69
ΔE_f (raw), eV per atom: -0.5481

```
Nd2P2RhN6
1.0
5.465 0.000 0.000
2.733 4.733 0.000
2.733 1.578 5.376
N Nd P Rh
6 2 2 1
Cartesian
4.077 3.957 1.374 N
6.853 2.354 4.002 N
4.077 2.354 4.002 N
5.465 1.552 1.374 N
6.853 3.957 1.374 N
5.465 4.758 4.002 N
2.733 1.578 1.892 Nd
8.198 4.733 3.484 Nd
5.465 3.155 1.615 P
5.465 3.155 3.762 P
0.000 0.000 0.000 Rh
```


# 5
Entry from Alexandria via LeMat-Bulk: a relaxed NdPRu2N crystal (GGA-PBE).

Computed properties:
Electronic total energy, eV per formula unit: -40.97
ΔE_f (raw), eV per atom: -0.7822

```
NdPRu2N
1.0
-1.619 -1.232 3.153
4.506 -3.660 -1.349
4.427 4.032 3.848
N Ru Nd P
2 4 2 2
Cartesian
0.000 0.000 0.000 N
2.214 2.016 1.924 N
1.886 -3.251 1.931 Ru
3.632 -1.661 3.449 Ru
5.428 2.390 3.721 Ru
3.682 0.801 2.203 Ru
0.598 0.044 2.557 Nd
6.716 -0.904 3.095 Nd
4.218 0.433 4.568 P
3.096 -1.293 1.084 P
```


# 6
Entry from Alexandria via LeMat-Bulk: a relaxed Nd3PSN crystal (GGA-PBE).

Computed properties:
Electronic total energy, eV per formula unit: -41.15
ΔE_f (raw), eV per atom: -1.4973

```
Nd3PSN
1.0
4.059 0.000 0.000
0.000 8.290 0.313
0.000 -1.915 9.307
P Nd N S
2 6 2 2
Cartesian
3.044 1.256 8.005 P
1.015 5.118 1.614 P
1.015 5.888 4.679 Nd
3.044 0.486 4.940 Nd
1.015 3.292 8.090 Nd
1.015 -0.794 7.869 Nd
3.044 7.168 1.750 Nd
3.044 3.083 1.530 Nd
3.044 6.826 3.978 N
1.015 -0.452 5.641 N
3.044 5.352 7.881 S
1.015 1.022 1.739 S
```


# 7
Entry from Alexandria via LeMat-Bulk: a relaxed Nd3PSeN crystal (GGA-PBE).

Computed properties:
Electronic total energy, eV per formula unit: -40.41
ΔE_f (raw), eV per atom: -1.4815

```
Nd3PSeN
1.0
4.104 0.000 0.000
0.000 8.542 0.309
0.000 -1.961 9.144
Se N P Nd
2 2 2 6
Cartesian
1.026 1.066 1.920 Se
3.078 5.516 7.532 Se
3.078 6.996 3.931 N
1.026 -0.415 5.521 N
3.078 1.306 7.852 P
1.026 5.275 1.600 P
1.026 6.115 4.675 Nd
1.026 3.318 7.920 Nd
3.078 7.303 1.712 Nd
1.026 -0.722 7.740 Nd
3.078 3.263 1.533 Nd
3.078 0.466 4.777 Nd
```


# 8
Entry from Alexandria via LeMat-Bulk: a relaxed Nd8P3Se3N crystal (GGA-PBE).

Computed properties:
Electronic total energy, eV per formula unit: -96.24
ΔE_f (raw), eV per atom: -1.5394

```
Nd8P3Se3N
1.0
8.196 0.000 0.000
-4.098 7.097 -0.026
0.000 -4.707 6.955
Se P Nd N
3 3 8 1
Cartesian
0.000 0.000 0.000 Se
-2.049 3.549 -0.013 Se
2.049 3.549 -0.013 Se
4.098 -2.354 3.477 P
2.049 1.195 3.465 P
-2.049 1.195 3.465 P
4.098 2.575 1.986 Nd
1.875 -1.277 1.999 Nd
6.322 -1.277 1.999 Nd
0.000 2.373 1.871 Nd
0.000 -0.184 4.944 Nd
-2.224 3.667 4.930 Nd
2.224 3.667 4.930 Nd
4.098 0.018 5.059 Nd
0.000 -2.354 3.477 N
```